No. 1
Below is a PBEsol-optimized structure of YMnSCl2, with properties calculated at the meta-GGA SCAN level.

total moment = 3.87 μB per formula unit
DFT total energy = -15.440 eV per atom
E_form (uncorrected) = -533 kJ/mol of formula units
relative energy among the computed polymorphs = 274 meV per atom

Cell: 4.543 4.543 4.725 Å, 90.00 90.00 90.00°
Space group P4/mmm (No. 123)
Symmetry-distinct sites (fractional):
Y (0.000, 0.000, 0.000)
Mn (0.500, 0.500, 0.500)
S (0.500, 0.500, 0.000)
Cl (0.000, 0.500, 0.500)


No. 2
Below is a PBEsol-optimized structure of NbNi2W, with properties calculated at the meta-GGA SCAN level.

total moment = 0.00 μB per formula unit
DFT total energy = -33.559 eV per atom
ΔH_f (0 K) = 0.2325 eV/atom

Cell: 6.015 6.015 6.015 Å, 90.00 90.00 90.00°
Space group Fm-3m (No. 225)
Symmetry-distinct sites (fractional):
Nb (0.000, 0.000, 0.000)
Ni (0.250, 0.250, 0.250)
W (0.000, 0.000, 0.500)


No. 3
Below is a PBEsol-optimized structure of Tc2OsCl, with properties calculated at the meta-GGA SCAN level.

total moment = 0.00 μB per formula unit
DFT total energy = -36.801 eV per atom
E_form (uncorrected) = 268 kJ/mol of formula units
relative energy among the computed polymorphs = 48 meV per atom

Cell: 2.760 4.770 9.130 Å, 90.00 90.00 90.00°
Space group Cmm2 (No. 35)
Symmetry-distinct sites (fractional):
Tc (0.000, 0.000, 0.000)
Tc (0.000, 0.500, 0.250)
Os (0.000, 0.000, 0.484)
Cl (0.000, 0.500, 0.782)


No. 4
Below is a PBEsol-optimized structure of Ga3WS, with properties calculated at the meta-GGA SCAN level.

total moment = 2.99 μB per formula unit
DFT total energy = -24.787 eV per atom
E_form (uncorrected) = 426 kJ/mol of formula units

Cell: 4.910 4.910 4.910 Å, 90.00 90.00 90.00°
Space group Pm-3m (No. 221)
Symmetry-distinct sites (fractional):
Ga (0.000, 0.000, 0.500)
W (0.000, 0.000, 0.000)
S (0.500, 0.500, 0.500)


No. 5
Below is a PBEsol-optimized structure of KRu2Br, with properties calculated at the meta-GGA SCAN level.

total moment = 1.79 μB per formula unit
DFT total energy = -23.463 eV per atom
E_form (uncorrected) = 346 kJ/mol of formula units
relative energy among the computed polymorphs = 668 meV per atom

Cell: 2.881 4.712 10.613 Å, 90.00 90.00 90.00°
Space group Immm (No. 71)
Symmetry-distinct sites (fractional):
K (0.000, 0.000, 0.000)
Ru (0.000, 0.500, 0.218)
Br (0.000, 0.000, 0.500)


No. 6
Below is a PBEsol-optimized structure of TcNiP2, with properties calculated at the meta-GGA SCAN level.

total moment = 0.00 μB per formula unit
DFT total energy = -18.028 eV per atom
ΔH_f (0 K) = -0.0200 eV/atom
relative energy among the computed polymorphs = 326 meV per atom

Cell: 3.525 4.174 6.611 Å, 90.00 90.00 90.00°
Space group Immm (No. 71)
Symmetry-distinct sites (fractional):
Tc (0.000, 0.000, 0.000)
Ni (0.000, 0.000, 0.500)
P (0.000, 0.500, 0.222)


No. 7
Below is a PBEsol-optimized structure of InCoCu2, with properties calculated at the meta-GGA SCAN level.

total moment = 1.73 μB per formula unit
DFT total energy = -19.914 eV per atom
ΔH_f (0 K) = 0.3579 eV/atom

Cell: 2.7688 2.7688 25.2148 Å, 90.00 90.00 120.00°
Space group R-3m (No. 166, hexagonal axes)
Symmetry-distinct sites (fractional):
In (0.0000, 0.0000, 0.0000)
Co (0.0000, 0.0000, 0.5000)
Cu (0.0000, 0.0000, 0.2422)


No. 8
Below is a PBEsol-optimized structure of Sb2AsBr, with properties calculated at the meta-GGA SCAN level.

total moment = 0.00 μB per formula unit
DFT total energy = -28.409 eV per atom
E_form (uncorrected) = 52 kJ/mol of formula units
relative energy among the computed polymorphs = 132 meV per atom

Cell: 7.955 7.955 6.744 Å, 90.00 90.00 90.00°
Space group I-42d (No. 122)
Symmetry-distinct sites (fractional):
Sb (0.215, 0.250, 0.125)
As (0.000, 0.000, 0.000)
Br (0.000, 0.000, 0.500)


No. 9
Below is a PBEsol-optimized structure of KCaRh2, with properties calculated at the meta-GGA SCAN level.

total moment = 0.00 μB per formula unit
DFT total energy = -21.017 eV per atom
ΔH_f (0 K) = 0.3665 eV/atom
relative energy among the computed polymorphs = 321 meV per atom

Cell: 3.0219 3.0219 28.8265 Å, 90.00 90.00 120.00°
Space group R-3m (No. 166, hexagonal axes)
Symmetry-distinct sites (fractional):
K (0.0000, 0.0000, 0.0000)
Ca (0.0000, 0.0000, 0.5000)
Rh (0.0000, 0.0000, 0.2428)


No. 10
Below is a PBEsol-optimized structure of MgAg2Au, with properties calculated at the meta-GGA SCAN level.

total moment = 0.00 μB per formula unit
DFT total energy = -34.530 eV per atom
ΔH_f (0 K) = -0.3135 eV/atom

Cell: 4.012 4.012 4.194 Å, 90.00 90.00 90.00°
Space group P4/mmm (No. 123)
Symmetry-distinct sites (fractional):
Mg (0.000, 0.000, 0.000)
Ag (0.000, 0.500, 0.500)
Au (0.500, 0.500, 0.000)


No. 11
Below is a PBEsol-optimized structure of SrReSiOs2, with properties calculated at the meta-GGA SCAN level.

total moment = 2.47 μB per formula unit
DFT total energy = -47.753 eV per atom
E_form (uncorrected) = 809 kJ/mol of formula units

Cell: 4.397 4.397 4.955 Å, 90.00 90.00 90.00°
Space group P4/mmm (No. 123)
Symmetry-distinct sites (fractional):
Sr (0.000, 0.000, 0.000)
Re (0.500, 0.500, 0.000)
Si (0.000, 0.000, 0.500)
Os (0.000, 0.500, 0.500)


No. 12
Below is a PBEsol-optimized structure of YSiAg2, with properties calculated at the meta-GGA SCAN level.

total moment = 0.00 μB per formula unit
DFT total energy = -25.147 eV per atom
E_form (uncorrected) = 0 kJ/mol of formula units

Cell: 5.708 10.305 3.093 Å, 90.00 120.98 90.00°
Space group C2/m (No. 12)
Symmetry-distinct sites (fractional):
Y (0.000, 0.000, 0.000)
Si (0.000, 0.500, 0.000)
Ag (0.250, 0.250, 0.500)


No. 13
Below is a PBEsol-optimized structure of NiP2ICl, with properties calculated at the meta-GGA SCAN level.

total moment = 0.00 μB per formula unit
DFT total energy = -15.863 eV per atom
E_form (uncorrected) = 229 kJ/mol of formula units

Cell: 4.517 4.517 4.502 Å, 90.00 90.00 90.00°
Space group P4/mmm (No. 123)
Symmetry-distinct sites (fractional):
Ni (0.000, 0.000, 0.000)
P (0.000, 0.500, 0.000)
I (0.500, 0.500, 0.500)
Cl (0.000, 0.000, 0.500)


No. 14
Below is a PBEsol-optimized structure of CaAg2Pb, with properties calculated at the meta-GGA SCAN level.

total moment = 0.00 μB per formula unit
DFT total energy = -37.230 eV per atom
ΔH_f (0 K) = -0.1855 eV/atom

Cell: 3.580 3.580 7.103 Å, 90.00 90.00 90.00°
Space group P4mm (No. 99)
Symmetry-distinct sites (fractional):
Ca (0.000, 0.000, 0.000)
Ag (0.000, 0.000, 0.556)
Ag (0.500, 0.500, 0.741)
Pb (0.500, 0.500, 0.318)


No. 15
Below is a PBEsol-optimized structure of YHgAu2N, with properties calculated at the meta-GGA SCAN level.

total moment = 1.95 μB per formula unit
DFT total energy = -47.518 eV per atom
E_form (uncorrected) = 581 kJ/mol of formula units

Cell: 5.032 5.032 5.552 Å, 90.00 90.00 90.00°
Space group P4/mmm (No. 123)
Symmetry-distinct sites (fractional):
Y (0.000, 0.000, 0.000)
Hg (0.000, 0.000, 0.500)
Au (0.000, 0.500, 0.500)
N (0.500, 0.500, 0.000)


No. 16
Below is a PBEsol-optimized structure of LiTa2HgGe, with properties calculated at the meta-GGA SCAN level.

total moment = 0.00 μB per formula unit
DFT total energy = -43.343 eV per atom
ΔH_f (0 K) = 1.2187 eV/atom

Cell: 4.784 4.784 4.990 Å, 90.00 90.00 90.00°
Space group P4/mmm (No. 123)
Symmetry-distinct sites (fractional):
Li (0.000, 0.000, 0.000)
Ta (0.000, 0.500, 0.500)
Hg (0.500, 0.500, 0.000)
Ge (0.500, 0.500, 0.500)


No. 17
Below is a PBEsol-optimized structure of Ta6S, with properties calculated at the meta-GGA SCAN level.

total moment = 0.00 μB per formula unit
DFT total energy = -58.719 eV per atom
E_form (uncorrected) = -184 kJ/mol of formula units

Cell: 5.210 7.492 7.495 Å, 113.82 109.01 98.38°
Space group P-1 (No. 2)
Symmetry-distinct sites (fractional):
Ta (0.000, 0.000, 0.000)
Ta (0.002, 0.295, 0.371)
Ta (0.149, 0.151, 0.721)
Ta (0.229, 0.690, 0.064)
Ta (0.443, 0.410, 0.227)
Ta (0.472, 0.136, 0.425)
Ta (0.500, 0.000, 0.000)
S (0.075, 0.584, 0.300)


No. 18
Below is a PBEsol-optimized structure of YSICl2, with properties calculated at the meta-GGA SCAN level.

total moment = 1.04 μB per formula unit
DFT total energy = -17.960 eV per atom
E_form (uncorrected) = 35 kJ/mol of formula units

Cell: 5.338 5.338 5.319 Å, 90.00 90.00 90.00°
Space group P4/mmm (No. 123)
Symmetry-distinct sites (fractional):
Y (0.000, 0.000, 0.000)
S (0.500, 0.500, 0.000)
I (0.500, 0.500, 0.500)
Cl (0.000, 0.500, 0.500)


No. 19
Below is a PBEsol-optimized structure of ZrZn, with properties calculated at the meta-GGA SCAN level.

total moment = 1.27 μB per formula unit
DFT total energy = -21.922 eV per atom
ΔH_f (0 K) = 0.1849 eV/atom

Cell: 4.8136 4.8136 10.9225 Å, 90.00 90.00 120.00°
Space group R-3m (No. 166, hexagonal axes)
Symmetry-distinct sites (fractional):
Zr (0.0000, 0.0000, 0.1407)
Zn (0.0000, 0.0000, 0.3877)


No. 20
Below is a PBEsol-optimized structure of TcAg2Ir, with properties calculated at the meta-GGA SCAN level.

total moment = 0.00 μB per formula unit
DFT total energy = -41.861 eV per atom
ΔH_f (0 K) = 0.3620 eV/atom
relative energy among the computed polymorphs = 0 meV per atom

Cell: 8.961 2.726 5.029 Å, 90.00 98.39 90.00°
Space group Cm (No. 8)
Symmetry-distinct sites (fractional):
Tc (0.000, 0.000, 0.000)
Ag (0.007, 0.500, 0.521)
Ag (0.254, 0.500, 0.306)
Ir (0.258, 0.000, 0.827)


No. 21
Below is a PBEsol-optimized structure of Cs2RbSb2, with properties calculated at the meta-GGA SCAN level.

total moment = 0.00 μB per formula unit
DFT total energy = -34.497 eV per atom
E_form (uncorrected) = -155 kJ/mol of formula units
relative energy among the computed polymorphs = 119 meV per atom

Cell: 5.666 5.666 15.332 Å, 90.00 90.00 90.00°
Space group I4/mmm (No. 139)
Symmetry-distinct sites (fractional):
Cs (0.000, 0.500, 0.250)
Rb (0.000, 0.000, 0.000)
Sb (0.000, 0.000, 0.411)


No. 22
Below is a PBEsol-optimized structure of SN, with properties calculated at the meta-GGA SCAN level.

total moment = 0.00 μB per formula unit
DFT total energy = -8.808 eV per atom
E_form (uncorrected) = 126 kJ/mol of formula units

Cell: 4.224 3.772 8.344 Å, 90.00 104.90 90.00°
Space group P2_1/c (No. 14)
Symmetry-distinct sites (fractional):
S (0.212, 0.120, 0.107)
N (0.190, 0.561, 0.426)


No. 23
Below is a PBEsol-optimized structure of Hg5Pb4, with properties calculated at the meta-GGA SCAN level.

total moment = 0.00 μB per formula unit
DFT total energy = -71.517 eV per atom
ΔH_f (0 K) = 0.0332 eV/atom
relative energy among the computed polymorphs = 0 meV per atom

Cell: 11.454 11.454 3.591 Å, 90.00 90.00 90.00°
Space group I4/mmm (No. 139)
Symmetry-distinct sites (fractional):
Hg (0.000, 0.000, 0.000)
Hg (0.166, 0.166, 0.500)
Pb (0.000, 0.322, 0.000)


No. 24
Below is a PBEsol-optimized structure of CsSr2RuRh, with properties calculated at the meta-GGA SCAN level.

total moment = 2.00 μB per formula unit
DFT total energy = -29.344 eV per atom
ΔH_f (0 K) = 0.8473 eV/atom

Cell: 5.590 5.590 5.517 Å, 90.00 90.00 90.00°
Space group P4/mmm (No. 123)
Symmetry-distinct sites (fractional):
Cs (0.000, 0.000, 0.000)
Sr (0.000, 0.500, 0.500)
Ru (0.500, 0.500, 0.000)
Rh (0.000, 0.000, 0.500)


No. 25
Below is a PBEsol-optimized structure of LiCdPC2, with properties calculated at the meta-GGA SCAN level.

total moment = 0.00 μB per formula unit
DFT total energy = -11.251 eV per atom
ΔH_f (0 K) = 1.4294 eV/atom

Cell: 3.595 3.595 5.039 Å, 90.00 90.00 90.00°
Space group P4/mmm (No. 123)
Symmetry-distinct sites (fractional):
Li (0.000, 0.000, 0.000)
Cd (0.500, 0.500, 0.000)
P (0.000, 0.000, 0.500)
C (0.000, 0.500, 0.500)


No. 26
Below is a PBEsol-optimized structure of ReP, with properties calculated at the meta-GGA SCAN level.

total moment = 0.00 μB per formula unit
DFT total energy = -40.739 eV per atom
ΔH_f (0 K) = 0.0088 eV/atom
relative energy among the computed polymorphs = 294 meV per atom

Cell: 2.9304 2.9304 22.1460 Å, 90.00 90.00 120.00°
Space group R-3m (No. 166, hexagonal axes)
Symmetry-distinct sites (fractional):
Re (0.0000, 0.0000, 0.1164)
P (0.0000, 0.0000, 0.3745)


No. 27
Below is a PBEsol-optimized structure of HoGa, with properties calculated at the meta-GGA SCAN level.

total moment = 0.20 μB per formula unit
DFT total energy = -33.398 eV per atom
ΔH_f (0 K) = -0.7312 eV/atom

Cell: 4.255 10.694 3.974 Å, 90.00 90.00 90.00°
Space group Cmcm (No. 63)
Symmetry-distinct sites (fractional):
Ho (0.000, 0.140, 0.250)
Ga (0.000, 0.423, 0.250)


No. 28
Below is a PBEsol-optimized structure of TaP2Pt, with properties calculated at the meta-GGA SCAN level.

total moment = 0.00 μB per formula unit
DFT total energy = -39.653 eV per atom
ΔH_f (0 K) = -0.2593 eV/atom
relative energy among the computed polymorphs = 101 meV per atom

Cell: 8.587 3.066 4.905 Å, 90.00 96.03 90.00°
Space group C2/m (No. 12)
Symmetry-distinct sites (fractional):
Ta (0.000, 0.000, 0.000)
P (0.213, 0.500, 0.827)
Pt (0.000, 0.500, 0.500)


No. 29
Below is a PBEsol-optimized structure of ZrIn5, with properties calculated at the meta-GGA SCAN level.

total moment = 0.00 μB per formula unit
DFT total energy = -33.047 eV per atom
ΔH_f (0 K) = -0.1087 eV/atom

Cell: 11.671 3.245 8.040 Å, 90.00 113.22 90.00°
Space group Cm (No. 8)
Symmetry-distinct sites (fractional):
Zr (0.000, 0.000, 0.000)
In (0.020, 0.000, 0.621)
In (0.196, 0.500, 0.339)
In (0.217, 0.500, 0.962)
In (0.306, 0.000, 0.696)
In (0.421, 0.000, 0.270)